Entry 1:
ZrNi4Pd | PBE | relaxed

a b c (Å): 4.795 4.795 4.795
angles (deg): 60.00 60.00 60.00
Element x y z (fractional)
Ni  0.877  0.374  0.374
Ni  0.374  0.877  0.374
Ni  0.374  0.374  0.374
Ni  0.374  0.374  0.877
Pd  0.000  0.000  0.000
Zr  0.750  0.750  0.750

Results
- total moment (μB/cell) = 0.347
- calculated density (Mg/m³) = 9.21
- VASP energy (eV for the cell shown) = -38.64
- symmetry = F-43m (216)
- crystal system = cubic



Entry 2:
HoFe6Ge6 | PBE | relaxed

a b c (Å): 9.734 9.734 5.108
angles (deg): 90.00 90.00 130.48
Element x y z (fractional)
Fe  0.500  0.000  0.000
Fe  0.250  0.250  0.000
Fe  0.000  0.500  0.000
Fe  0.750  0.750  0.000
Fe  0.376  0.126  0.250
Fe  0.874  0.624  0.250
Fe  0.500  0.000  0.500
Fe  0.250  0.250  0.500
Fe  0.000  0.500  0.500
Fe  0.750  0.750  0.500
Fe  0.126  0.376  0.750
Fe  0.624  0.874  0.750
Ge  0.705  0.295  0.250
Ge  0.541  0.459  0.250
Ge  0.222  0.471  0.250
Ge  0.529  0.778  0.250
Ge  0.211  0.789  0.250
Ge  0.042  0.958  0.250
Ge  0.958  0.042  0.750
Ge  0.789  0.211  0.750
Ge  0.471  0.222  0.750
Ge  0.778  0.529  0.750
Ge  0.459  0.541  0.750
Ge  0.295  0.705  0.750
Ho  0.873  0.127  0.250
Ho  0.127  0.873  0.750

Results
- total moment (μB/cell) = 22.853
- calculated density (Mg/m³) = 8.44
- VASP energy (eV for the cell shown) = -171.75
- symmetry = Cmcm (63)
- crystal system = orthorhombic



Entry 3:
RbReNi | PBE | relaxed

a b c (Å): 4.875 4.875 4.875
angles (deg): 60.00 60.00 60.00
Element x y z (fractional)
Ni  0.250  0.250  0.250
Rb  0.000  0.000  0.000
Re  0.750  0.750  0.750

Results
- total moment (μB/cell) = 4.165
- offset from the most stable computed form (eV per atom) = 0.868
- calculated density (Mg/m³) = 6.70
- VASP energy (eV for the cell shown) = -9.77
- symmetry = F-43m (216)
- crystal system = cubic



Entry 4:
YBeNi | PBE | relaxed

a b c (Å): 4.406 4.406 4.406
angles (deg): 60.00 60.00 60.00
Element x y z (fractional)
Be  0.250  0.250  0.250
Ni  0.750  0.750  0.750
Y  0.000  0.000  0.000

Results
- total moment (μB/cell) = 0.007
- offset from the most stable computed form (eV per atom) = 0.641
- calculated density (Mg/m³) = 4.30
- VASP energy (eV for the cell shown) = -13.64
- symmetry = F-43m (216)
- crystal system = cubic



Entry 5:
BaPmNO | PBE | relaxed

a b c (Å): 4.941 4.941 7.138
angles (deg): 90.00 90.00 90.03
Element x y z (fractional)
Ba  0.250  0.250  0.500
Ba  0.750  0.750  0.500
N  0.250  0.750  0.353
N  0.750  0.250  0.647
O  0.250  0.250  0.000
O  0.750  0.750  0.000
Pm  0.250  0.750  0.054
Pm  0.750  0.250  0.946

Results
- total moment (μB/cell) = 0.001
- offset from the most stable computed form (eV per atom) = 0.179
- calculated density (Mg/m³) = 5.95
- VASP energy (eV for the cell shown) = -53.59
- symmetry = P4/nmm (129)
- crystal system = tetragonal



Entry 6:
PrNdSiCl2 | PBE | relaxed

a b c (Å): 4.238 4.238 9.913
angles (deg): 90.00 90.00 120.00
Element x y z (fractional)
Cl  0.000  0.000  0.169
Cl  0.333  0.667  0.832
Nd  0.333  0.667  0.329
Pr  0.000  0.000  0.671
Si  0.667  0.333  0.498

Results
- total moment (μB/cell) = 0.007
- calculated density (Mg/m³) = 4.14
- VASP energy (eV for the cell shown) = -26.46
- symmetry = P3m1 (156)
- crystal system = trigonal